Entry 1:
A geometry-optimized Ac3PdPtRh structure. Source: the Alexandria database, functional GGA-PBE.

CIF file:
```
data_Ac3PdPtRh
_chemical_formula_sum 'Ac6 Pd2 Pt2 Rh2'
_cell_length_a 8.4383
_cell_length_b 4.2807
_cell_length_c 10.2721
_cell_angle_alpha 90.00
_cell_angle_beta 112.80
_cell_angle_gamma 90.00
_symmetry_space_group_name_H-M 'P 1 21/m 1'
_symmetry_Int_Tables_number 11
loop_
_symmetry_equiv_pos_as_xyz
'x,y,z'
'-x,-y,-z'
'-x,y+1/2,-z'
'x,-y+1/2,z'
loop_
_atom_site_label
_atom_site_fract_x
_atom_site_fract_y
_atom_site_fract_z
Ac1 0.1781 0.2500 0.1481
Ac2 0.2889 0.7500 0.4980
Ac3 0.3041 0.7500 0.8662
Pd1 0.4774 0.7500 0.2494
Pt1 0.0141 0.2500 0.4046
Rh1 0.0502 0.2500 0.8129
```

Output
Electronic total energy, eV/atom: -5.86
E_form, eV/atom: -0.709

=====

Entry 2:
A geometry-optimized Ba3NpSc2O9 structure. Source: the Alexandria database, functional GGA-PBE.

CIF file:
```
data_Ba3NpSc2O9
_chemical_formula_sum 'Ba3 Np1 Sc2 O9'
_cell_length_a 5.9857
_cell_length_b 5.9857
_cell_length_c 7.3772
_cell_angle_alpha 90.00
_cell_angle_beta 90.00
_cell_angle_gamma 120.00
_symmetry_space_group_name_H-M 'P -3 m 1'
_symmetry_Int_Tables_number 164
_symmetry_space_group_name_Hall '-P 3 2"'
loop_
_atom_site_label
_atom_site_fract_x
_atom_site_fract_y
_atom_site_fract_z
Ba1 0.0000 0.0000 0.0000
Ba2 0.3333 0.6667 0.6810
Np1 0.0000 0.0000 0.5000
Sc1 0.3333 0.6667 0.1502
O1 0.0000 0.5000 0.0000
O2 0.1637 0.3275 0.3373
```

Output
Electronic total energy, eV/atom: -8.22
E_form (uncorrected), eV per atom: -3.158

=====

Entry 3:
A geometry-optimized Dy4HoTm structure. Source: the Alexandria database, functional GGA-PBE.

CIF file:
```
data_Dy4HoTm
_chemical_formula_sum 'Dy16 Ho4 Tm4'
_cell_length_a 9.2051
_cell_length_b 9.2051
_cell_length_c 9.2051
_cell_angle_alpha 90.00
_cell_angle_beta 90.00
_cell_angle_gamma 90.00
_symmetry_space_group_name_H-M 'F -4 3 m'
_symmetry_Int_Tables_number 216
_symmetry_space_group_name_Hall 'F -4 2 3'
loop_
_atom_site_label
_atom_site_fract_x
_atom_site_fract_y
_atom_site_fract_z
Dy1 0.1250 0.1250 0.1250
Ho1 0.0000 0.0000 0.5000
Tm1 0.2500 0.2500 0.7500
```

Output
Electronic total energy, eV/atom: -4.31
Excess energy over the best structure of this formula in the dataset, meV/atom: 257.0
E_form, eV/atom: 0.262

=====

Entry 4:
A geometry-optimized Re2NiAs structure. Source: the Alexandria database, functional GGA-PBE.

CIF file:
```
data_Re2NiAs
_chemical_formula_sum 'Re2 Ni1 As1'
_cell_length_a 3.0459
_cell_length_b 4.3093
_cell_length_c 4.4130
_cell_angle_alpha 90.00
_cell_angle_beta 90.00
_cell_angle_gamma 90.00
_symmetry_space_group_name_H-M 'P m m m'
_symmetry_Int_Tables_number 47
loop_
_symmetry_equiv_pos_as_xyz
'x,y,z'
'-x,-y,-z'
'-x,-y,z'
'x,y,-z'
'x,-y,-z'
'-x,y,z'
'-x,y,-z'
'x,-y,z'
loop_
_atom_site_label
_atom_site_fract_x
_atom_site_fract_y
_atom_site_fract_z
Re1 0.0000 0.0000 0.0000
Re2 0.5000 0.5000 0.0000
Ni1 0.0000 0.5000 0.5000
As1 0.5000 0.0000 0.5000
```

Output
Electronic total energy, eV/atom: -8.39
E_form, eV/atom: 0.437

=====

Entry 5:
A geometry-optimized CsBaIN2 structure. Source: the Alexandria database, functional GGA-PBE.

CIF file:
```
data_CsBaIN2
_chemical_formula_sum 'Cs1 Ba1 I1 N2'
_cell_length_a 4.9519
_cell_length_b 4.9519
_cell_length_c 6.7609
_cell_angle_alpha 90.00
_cell_angle_beta 90.00
_cell_angle_gamma 90.00
_symmetry_space_group_name_H-M 'P 4/m m m'
_symmetry_Int_Tables_number 123
_symmetry_space_group_name_Hall '-P 4 2'
loop_
_atom_site_label
_atom_site_fract_x
_atom_site_fract_y
_atom_site_fract_z
Cs1 0.0000 0.0000 0.0000
Ba1 0.5000 0.5000 0.5000
I1 0.0000 0.0000 0.5000
N1 0.0000 0.5000 0.0000
```

Output
Electronic total energy, eV/atom: -3.12
Excess energy over the best structure of this formula in the dataset, meV/atom: 602.6
E_form (uncorrected), eV per atom: 1.078

=====

Entry 6:
A geometry-optimized CeDy2Pb structure. Source: the Alexandria database, functional GGA-PBE.

CIF file:
```
data_CeDy2Pb
_chemical_formula_sum 'Ce4 Dy8 Pb4'
_cell_length_a 7.6912
_cell_length_b 7.6912
_cell_length_c 7.6912
_cell_angle_alpha 90.00
_cell_angle_beta 90.00
_cell_angle_gamma 90.00
_symmetry_space_group_name_H-M 'F m -3 m'
_symmetry_Int_Tables_number 225
_symmetry_space_group_name_Hall '-F 4 2 3'
loop_
_atom_site_label
_atom_site_fract_x
_atom_site_fract_y
_atom_site_fract_z
Ce1 0.0000 0.0000 0.0000
Dy1 0.2500 0.2500 0.2500
Pb1 0.0000 0.0000 0.5000
```

Output
Electronic total energy, eV/atom: -4.76
Excess energy over the best structure of this formula in the dataset, meV/atom: 204.1
E_form, eV/atom: -0.052

=====

Entry 7:
A geometry-optimized LaAl2NiAs structure. Source: the Alexandria database, functional GGA-PBE.

CIF file:
```
data_LaAl2NiAs
_chemical_formula_sum 'La1 Al2 Ni1 As1'
_cell_length_a 5.8354
_cell_length_b 5.8354
_cell_length_c 5.4973
_cell_angle_alpha 90.00
_cell_angle_beta 90.00
_cell_angle_gamma 90.00
_symmetry_space_group_name_H-M 'P 4/m m m'
_symmetry_Int_Tables_number 123
_symmetry_space_group_name_Hall '-P 4 2'
loop_
_atom_site_label
_atom_site_fract_x
_atom_site_fract_y
_atom_site_fract_z
La1 0.0000 0.0000 0.0000
Al1 0.0000 0.5000 0.0000
Ni1 0.5000 0.5000 0.5000
As1 0.0000 0.0000 0.5000
```

Output
Electronic total energy, eV/atom: -3.10
E_form, eV/atom: 1.470

=====

Entry 8:
A geometry-optimized BaCu2Ag2 structure. Source: the Alexandria database, functional GGA-PBE.

CIF file:
```
data_BaCu2Ag2
_chemical_formula_sum 'Ba2 Cu4 Ag4'
_cell_length_a 4.7089
_cell_length_b 4.7089
_cell_length_c 10.3559
_cell_angle_alpha 90.00
_cell_angle_beta 90.00
_cell_angle_gamma 90.00
_symmetry_space_group_name_H-M 'I 4/m m m'
_symmetry_Int_Tables_number 139
_symmetry_space_group_name_Hall '-I 4 2'
loop_
_atom_site_label
_atom_site_fract_x
_atom_site_fract_y
_atom_site_fract_z
Ba1 0.0000 0.0000 0.0000
Cu1 0.0000 0.5000 0.2500
Ag1 0.0000 0.0000 0.3635
```

Output
Electronic total energy, eV/atom: -3.17
Excess energy over the best structure of this formula in the dataset, meV/atom: 23.8
E_form, eV/atom: -0.009

=====

- electronic total energy of number 2 (Ba3NpSc2O9)?
  -8.22 eV/atom